First-principles (PBE-GGA) data for a geometry-optimized Na2Zn21Pt6 structure, as listed in Alexandria.

Cell and atoms, written as extended XYZ:
```
29
Lattice="0.000 6.463 6.463 6.463 0.000 6.463 6.463 6.463 0.000" Properties=species:S:1:pos:R:3 pbc="T T T"
Na 3.231 3.231 3.231
Na 9.694 9.694 9.694
Zn 0.000 0.000 0.000
Zn 2.170 2.170 0.000
Zn 4.292 4.292 0.000
Zn 2.170 0.000 2.170
Zn 6.463 4.292 2.170
Zn 4.292 0.000 4.292
Zn 6.463 2.170 4.292
Zn 7.892 5.033 5.033
Zn 0.000 2.170 2.170
Zn 4.292 6.463 2.170
Zn 4.292 2.170 6.463
Zn 5.033 5.033 5.033
Zn 7.892 7.892 5.033
Zn 7.892 5.033 7.892
Zn 5.033 7.892 5.033
Zn 5.033 5.033 7.892
Zn 7.892 7.892 7.892
Zn 0.000 4.292 4.292
Zn 2.170 6.463 4.292
Zn 2.170 4.292 6.463
Zn 5.033 7.892 7.892
Pt 6.463 6.463 3.433
Pt 6.463 3.433 6.463
Pt 9.492 6.463 6.463
Pt 3.433 6.463 6.463
Pt 6.463 9.492 6.463
Pt 6.463 6.463 9.492
```

## Properties
As for the spin magnetization: 0.00 μB per formula unit. For the energy relative to the elements, the calculation gives -0.18 eV/atom.

=====

First-principles (PBE-GGA) data for a geometry-optimized Zn2GaBF structure, as listed in Alexandria.

Cell and atoms, written as extended XYZ:
```
5
Lattice="4.307 0.000 0.000 0.000 4.307 0.000 0.000 0.000 4.295" Properties=species:S:1:pos:R:3 pbc="T T T"
Zn 0.000 2.153 0.000
Zn 2.153 0.000 0.000
Ga 0.000 0.000 2.148
B 2.153 2.153 2.148
F 2.153 2.153 0.000
```

## Properties
The formation energy (no corrections) comes out at 0.526 eV per atom. As for the spin magnetization: 0.00 μB per formula unit.

=====

First-principles (PBE-GGA) data for a geometry-optimized PmAgSnP structure, as listed in Alexandria.

Cell and atoms, written as extended XYZ:
```
4
Lattice="0.000 3.554 3.554 3.554 0.000 3.554 3.554 3.554 0.000" Properties=species:S:1:pos:R:3 pbc="T T T"
Pm 0.000 0.000 0.000
Ag 1.777 1.777 1.777
Sn 3.554 3.554 3.554
P 5.330 5.330 5.330
```

## Properties
As for the spin magnetization: 0.00 μB per formula unit. For the energy relative to the elements, the calculation gives -0.33 eV/atom.

=====

First-principles (PBE-GGA) data for a geometry-optimized LaTlMo2 structure, as listed in Alexandria.

Cell and atoms, written as extended XYZ:
```
4
Lattice="3.318 0.000 0.000 0.000 5.028 0.000 -0.068 0.000 5.620" Properties=species:S:1:pos:R:3 pbc="T T T"
La 0.000 0.000 0.000
Tl 1.625 0.000 2.810
Mo 0.935 2.514 4.616
Mo 2.316 2.514 1.004
```

## Properties
Its distance to the lowest polymorph of the same formula is 159 kJ/mol of formula units. As for the spin magnetization: 0.00 μB per formula unit. For the energy relative to the elements, the calculation gives 0.61 eV/atom.

=====

First-principles (PBE-GGA) data for a geometry-optimized CoP2Pt structure, as listed in Alexandria.

Cell and atoms, written as extended XYZ:
```
4
Lattice="-1.798 1.798 4.070 1.798 -1.798 4.070 1.798 1.798 -4.070" Properties=species:S:1:pos:R:3 pbc="T T T"
Co 0.000 0.000 0.000
P 1.798 0.000 2.035
P 0.000 0.000 4.070
Pt 0.000 1.798 2.035
```

## Properties
Its distance to the lowest polymorph of the same formula is 206 kJ/mol of formula units. As for the spin magnetization: 0.00 μB per formula unit. For the energy relative to the elements, the calculation gives 0.14 eV/atom.

=====

First-principles (PBE-GGA) data for a geometry-optimized HoCN structure, as listed in Alexandria.

Cell and atoms, written as extended XYZ:
```
3
Lattice="-1.785 1.785 3.016 1.785 -1.785 3.016 1.785 1.785 -3.016" Properties=species:S:1:pos:R:3 pbc="T T T"
Ho 0.000 0.000 0.000
C 0.000 0.000 3.644
N 0.000 0.000 2.362
```

## Properties
Its distance to the lowest polymorph of the same formula is 14 kJ/mol of formula units. The formation energy (no corrections) comes out at -0.522 eV per atom. As for the spin magnetization: 0.00 μB per formula unit.

=====

First-principles (PBE-GGA) data for a geometry-optimized Ac2EuGa structure, as listed in Alexandria.

Cell and atoms, written as extended XYZ:
```
4
Lattice="2.013 1.162 11.224 -2.013 1.162 11.224 0.000 -2.324 11.224" Properties=species:S:1:pos:R:3 pbc="T T T"
Ac 0.000 0.000 7.894
Ac 0.000 0.000 25.777
Eu 0.000 0.000 0.000
Ga 0.000 0.000 16.835
```

## Properties
Its distance to the lowest polymorph of the same formula is 34 kJ/mol of formula units. As for the spin magnetization: 8.03 μB per formula unit. For the energy relative to the elements, the calculation gives -0.12 eV/atom.

=====

First-principles (PBE-GGA) data for a geometry-optimized Ac2PmTm structure, as listed in Alexandria.

Cell and atoms, written as extended XYZ:
```
4
Lattice="1.855 1.071 13.143 -1.855 1.071 13.143 0.000 -2.142 13.143" Properties=species:S:1:pos:R:3 pbc="T T T"
Ac 0.000 0.000 3.456
Ac 0.000 0.000 35.974
Pm 0.000 0.000 19.715
Tm 0.000 0.000 0.000
```

## Properties
Its distance to the lowest polymorph of the same formula is 82 kJ/mol of formula units. As for the spin magnetization: 0.00 μB per formula unit. For the energy relative to the elements, the calculation gives 0.26 eV/atom.

=====

First-principles (PBE-GGA) data for a geometry-optimized Nd2Ga2Os2C structure, as listed in Alexandria.

Cell and atoms, written as extended XYZ:
```
7
Lattice="5.611 -2.080 0.000 5.611 2.080 0.000 -4.475 0.000 5.721" Properties=species:S:1:pos:R:3 pbc="T T T"
Nd -0.581 0.000 1.685
Nd 7.328 0.000 4.036
Ga 2.555 0.000 1.743
Ga 4.192 0.000 3.978
Os -0.696 0.000 5.228
Os 7.443 0.000 0.493
C 5.611 0.000 0.000
```

## Properties
As for the spin magnetization: 0.00 μB per formula unit. For the energy relative to the elements, the calculation gives -0.44 eV/atom.

=====

What did we get for uncorrected energy? Answer: -2.45 -2.30 -4.59 -6.63 -5.86 -7.90 -5.50 -4.10 -7.19 eV per atom, in the order shown.